Entry 1:
VASP calculation (PBE) on an optimized crystal structure of Cu2PBr. Values from VASP.

```
&SYSTEM
  ibrav = 0, nat = 4, ntyp = 3
/
ATOMIC_SPECIES
Cu 63.55 Cu.upf
P 30.97 P.upf
Br 79.90 Br.upf
CELL_PARAMETERS angstrom
3.260 0.000 0.000
0.000 3.260 0.000
0.000 0.000 7.309
ATOMIC_POSITIONS angstrom
Cu 0.000 0.000 0.000
Cu 1.630 1.630 1.441
P 0.000 0.000 2.276
Br 1.630 1.630 5.885
```

Values from the calculation:
Uncorrected energy   -14.80 eV for the cell shown
Energy relative to the elements, uncorrected   11 kJ/mol of atoms
Excess energy over the best structure of this formula in the dataset   0.132 eV/atom
Space-group type   No. 99

Entry 2:
VASP calculation (PBE) on an optimized crystal structure of TlSnB2. Values from VASP.

```
&SYSTEM
  ibrav = 0, nat = 8, ntyp = 3
/
ATOMIC_SPECIES
Tl 204.38 Tl.upf
Sn 118.71 Sn.upf
B 10.81 B.upf
CELL_PARAMETERS angstrom
-2.736 2.736 5.284
2.736 -2.736 5.284
2.736 2.736 -5.284
ATOMIC_POSITIONS angstrom
Tl 0.000 0.000 0.000
Tl 0.000 2.736 2.642
Sn 2.736 0.000 2.642
Sn 0.000 0.000 5.284
B 1.368 -1.269 3.963
B 1.468 1.368 1.321
B 1.368 4.005 -1.321
B 1.269 1.368 6.604
```

Values from the calculation:
Uncorrected energy   -30.47 eV for the cell shown
Excess energy over the best structure of this formula in the dataset   0.000 eV/atom
Space-group type   No. 122

Entry 3:
VASP calculation (PBE) on an optimized crystal structure of La6TeAs3Cl2. Values from VASP.

```
&SYSTEM
  ibrav = 0, nat = 12, ntyp = 4
/
ATOMIC_SPECIES
La 138.91 La.upf
Te 127.60 Te.upf
As 74.92 As.upf
Cl 35.45 Cl.upf
CELL_PARAMETERS angstrom
9.585 -2.177 0.000
9.585 2.177 0.000
-2.201 0.000 8.561
ATOMIC_POSITIONS angstrom
La -0.435 0.000 1.999
La 5.319 0.000 3.704
La 4.527 0.000 7.740
La 12.443 0.000 0.820
La 11.651 0.000 4.856
La 17.405 0.000 6.562
Te 8.485 0.000 4.280
As 2.456 0.000 2.822
As 9.585 0.000 0.000
As 14.514 0.000 5.739
Cl 1.420 0.000 7.180
Cl 15.550 0.000 1.380
```

Values from the calculation:
Uncorrected energy   -70.13 eV for the cell shown
Energy relative to the elements, uncorrected   -159 kJ/mol of atoms
Space-group type   No. 12

Entry 4:
VASP calculation (PBE) on an optimized crystal structure of UMn2. Values from VASP.

```
&SYSTEM
  ibrav = 0, nat = 3, ntyp = 2
/
ATOMIC_SPECIES
U 238.03 U.upf
Mn 54.94 Mn.upf
CELL_PARAMETERS angstrom
-1.387 1.387 5.520
1.387 -1.387 5.520
1.387 1.387 -5.520
ATOMIC_POSITIONS angstrom
U 0.000 0.000 0.000
Mn 0.000 0.000 3.413
Mn 0.000 0.000 7.627
```

Values from the calculation:
Uncorrected energy   -29.43 eV for the cell shown
Space-group type   No. 139

Entry 5:
VASP calculation (PBE) on an optimized crystal structure of PmEr2Ir3. Values from VASP.

```
&SYSTEM
  ibrav = 0, nat = 6, ntyp = 3
/
ATOMIC_SPECIES
Pm 145.00 Pm.upf
Er 167.26 Er.upf
Ir 192.22 Ir.upf
CELL_PARAMETERS angstrom
4.861 0.000 0.000
-2.430 4.210 0.000
0.000 0.000 5.973
ATOMIC_POSITIONS angstrom
Pm 0.000 0.000 0.000
Er 0.000 2.806 3.967
Er 2.430 1.403 2.007
Ir 0.000 0.000 2.987
Ir 0.000 2.806 1.052
Ir 2.430 1.403 4.921
```

Values from the calculation:
Uncorrected energy   -45.09 eV for the cell shown
Space-group type   No. 164

Entry 6:
VASP calculation (PBE) on an optimized crystal structure of CaMnIr2C. Values from VASP.

```
&SYSTEM
  ibrav = 0, nat = 5, ntyp = 4
/
ATOMIC_SPECIES
Ca 40.08 Ca.upf
Mn 54.94 Mn.upf
Ir 192.22 Ir.upf
C 12.01 C.upf
CELL_PARAMETERS angstrom
4.897 0.000 0.000
0.000 4.897 0.000
0.000 0.000 4.216
ATOMIC_POSITIONS angstrom
Ca 0.000 0.000 0.000
Mn 2.448 2.448 2.108
Ir 0.000 2.448 0.000
Ir 2.448 0.000 0.000
C 0.000 0.000 2.108
```

Values from the calculation:
Uncorrected energy   -25.12 eV for the cell shown
Space-group type   No. 123

Entry 7:
VASP calculation (PBE) on an optimized crystal structure of BeAlHg2. Values from VASP.

```
&SYSTEM
  ibrav = 0, nat = 4, ntyp = 3
/
ATOMIC_SPECIES
Be 9.01 Be.upf
Al 26.98 Al.upf
Hg 200.59 Hg.upf
CELL_PARAMETERS angstrom
-2.062 2.062 4.353
2.062 -2.062 4.353
2.062 2.062 -4.353
ATOMIC_POSITIONS angstrom
Be 0.000 0.000 0.000
Al 0.000 2.062 2.176
Hg 2.062 0.000 2.176
Hg 0.000 0.000 4.353
```

Values from the calculation:
Uncorrected energy   -6.17 eV for the cell shown
Excess energy over the best structure of this formula in the dataset   0.248 eV/atom
Space-group type   No. 119

Entry 8:
VASP calculation (PBE) on an optimized crystal structure of CeLuBeZn. Values from VASP.

```
&SYSTEM
  ibrav = 0, nat = 4, ntyp = 4
/
ATOMIC_SPECIES
Ce 140.12 Ce.upf
Lu 174.97 Lu.upf
Be 9.01 Be.upf
Zn 65.41 Zn.upf
CELL_PARAMETERS angstrom
0.000 3.477 3.477
3.477 0.000 3.477
3.477 3.477 0.000
ATOMIC_POSITIONS angstrom
Ce 0.000 0.000 0.000
Lu 3.477 3.477 3.477
Be 5.216 5.216 5.216
Zn 1.739 1.739 1.739
```

Values from the calculation:
Uncorrected energy   -15.64 eV for the cell shown
Space-group type   No. 216